## Ho3GePb2 (PBE)

Data for an optimized crystal structure of Ho3GePb2.

Computed properties:
Space group ... Pnma
ΔE_f ... -0.473 eV per atom

```
24
Lattice="4.3522 0.0000 0.0000 0.0000 11.9324 0.0000 0.0000 0.0000 12.7335" Properties=species:S:1:pos:R:3 pbc="T T T"
Ho 3.2641 7.3656 12.0177
Ho 1.0880 0.5227 11.2791
Ho 1.0880 1.3994 7.0825
Ho 1.0880 4.5669 0.7158
Ho 3.2641 6.4889 7.8211
Ho 3.2641 10.5331 5.6510
Ho 1.0880 5.4436 4.9124
Ho 3.2641 2.6661 3.1056
Ho 3.2641 11.4098 1.4544
Ho 1.0880 8.6323 3.2612
Ho 3.2641 3.3001 9.4723
Ho 1.0880 9.2663 9.6279
Ge 3.2641 10.4037 11.2155
Ge 3.2641 7.4950 4.8487
Ge 1.0880 4.4375 7.8847
Ge 1.0880 1.5287 1.5180
Pb 1.0880 9.3543 0.3052
Pb 1.0880 5.9278 10.3622
Pb 3.2641 11.8940 8.7380
Pb 3.2641 6.0047 2.3713
Pb 1.0880 8.5444 6.6720
Pb 3.2641 2.5781 12.4282
Pb 3.2641 3.3881 6.0615
Pb 1.0880 0.0385 3.9954
```